Computed, not measured: a geometry-optimized Hg2SbOs structure at the PBE level of DFT.

Structure (POSCAR):
```
Hg2SbOs
1.0
1.620 0.935 10.276
-1.620 0.935 10.276
0.000 -1.871 10.276
Hg Sb Os
2 1 1
Cartesian
0.000 0.000 0.000 Hg
0.000 0.000 7.346 Hg
0.000 0.000 23.804 Sb
0.000 0.000 15.376 Os
```

Calculated values
Spin magnetization: 0.0002 μB/atom
Energy relative to the elements, uncorrected: 0.41 eV per atom